DFT (GGA-PBE) results for an optimized crystal structure of Tb6Sm3Ho2Tl.

Computed properties:
- spin magnetization (μB/f.u.) = 0.00
- DFT formation energy (eV per atom) = -0.012
- total DFT energy (no corrections) (eV per cell) = -53.607
- theoretical density (kg/m3) = 8552

Cell: 6.1517 6.1517 11.6772 Å, 95.07 95.07 120.05°
With the nearest neighbours (Å) after each atom.
Fractional positions:
Tb (0.4092, 0.0807, 0.2445)  1 Tl 3.46, 2 Ho 3.49, 6 Tb 3.50-3.58, 3 Sm 3.57-3.59
Tb (0.0807, 0.4092, 0.2445)  1 Tl 3.46, 2 Ho 3.49, 6 Tb 3.50-3.58, 3 Sm 3.57-3.59
Tb (0.7523, 0.7523, 0.2463)  1 Tl 3.48, 2 Ho 3.50, 6 Tb 3.50-3.58, 3 Sm 3.56-3.58
Tb (0.2477, 0.2477, 0.7537)  1 Tl 3.48, 2 Ho 3.50, 6 Tb 3.50-3.58, 3 Sm 3.56-3.58
Tb (0.5908, 0.9193, 0.7555)  1 Tl 3.46, 2 Ho 3.49, 6 Tb 3.50-3.58, 3 Sm 3.57-3.59
Tb (0.9193, 0.5908, 0.7555)  1 Tl 3.46, 2 Ho 3.49, 6 Tb 3.50-3.58, 3 Sm 3.57-3.59
Sm (0.5000, 0.5000, 0.5000)  6 Sm 3.55, 6 Tb 3.57-3.58
Sm (0.1673, 0.8327, 0.5000)  6 Sm 3.54-3.57, 6 Tb 3.56-3.59
Sm (0.8327, 0.1673, 0.5000)  6 Sm 3.54-3.57, 6 Tb 3.56-3.59
Ho (0.6660, 0.3340, 0.0000)  6 Tb 3.49-3.50, 3 Ho 3.54-3.56, 3 Tl 3.55-3.56
Ho (0.3340, 0.6660, 0.0000)  6 Tb 3.49-3.50, 3 Ho 3.54-3.56, 3 Tl 3.55-3.56
Tl (0.0000, 0.0000, 0.0000)  6 Tb 3.46-3.48, 6 Ho 3.55-3.56



DFT (GGA-PBE) results for an optimized crystal structure of Rb2CaBiP.

Computed properties:
- spin magnetization (μB/f.u.) = 1.98
- DFT formation energy (eV per atom) = 0.251
- total DFT energy (no corrections) (eV per cell) = -11.972
- theoretical density (kg/m3) = 2837

Cell: 7.1819 5.1170 7.1819 Å, 90.00 90.00 90.00°
With the nearest neighbours (Å) after each atom.
Fractional positions:
P (0.0000, 0.5000, 0.0000)  2 Ca 2.56
Ca (0.0000, 0.0000, 0.0000)  2 P 2.56
Rb (0.5000, 0.0000, 0.0000)  2 Ca 3.59
Rb (0.0000, 0.0000, 0.5000)  2 Ca 3.59
Bi (0.5000, 0.5000, 0.5000)  8 Rb 4.41



DFT (GGA-PBE) results for an optimized crystal structure of Na3In3Au2.

Computed properties:
- spin magnetization (μB/f.u.) = 0.00
- DFT formation energy (eV per atom) = -0.251
- total DFT energy (no corrections) (eV per cell) = -82.933
- theoretical density (kg/m3) = 6496

Cell: 5.8646 8.3034 16.9531 Å, 90.00 90.00 90.00°
With the nearest neighbours (Å) after each atom.
Fractional positions:
Na (0.9058, 0.5350, 0.6126)  3 Au 3.14-3.18, 6 In 3.23-3.45
Na (0.4058, 0.9650, 0.1126)  3 Au 3.14-3.18, 6 In 3.23-3.45
Na (0.8443, 0.8380, 0.2500)  3 In 3.21-3.34, 4 Au 3.24-3.31
Na (0.1557, 0.1620, 0.7500)  3 In 3.21-3.34, 4 Au 3.24-3.31
Na (0.9058, 0.5350, 0.8874)  3 Au 3.14-3.18, 6 In 3.23-3.45
Na (0.0942, 0.4650, 0.3874)  3 Au 3.14-3.18, 6 In 3.23-3.45
Na (0.4058, 0.9650, 0.3874)  3 Au 3.14-3.18, 6 In 3.23-3.45
Na (0.6557, 0.3380, 0.2500)  3 In 3.21-3.34, 4 Au 3.24-3.31
Na (0.3443, 0.6620, 0.7500)  3 In 3.21-3.34, 4 Au 3.24-3.31
Na (0.5942, 0.0350, 0.6126)  3 Au 3.14-3.18, 6 In 3.23-3.45
Na (0.5942, 0.0350, 0.8874)  3 Au 3.14-3.18, 6 In 3.23-3.45
Na (0.0942, 0.4650, 0.1126)  3 Au 3.14-3.18, 6 In 3.23-3.45
Au (0.0922, 0.8889, 0.8846)  4 In 2.77-2.89
Au (0.4078, 0.3889, 0.6154)  4 In 2.77-2.89
Au (0.5922, 0.6111, 0.3846)  4 In 2.77-2.89
Au (0.0922, 0.8889, 0.6154)  4 In 2.77-2.89
Au (0.5922, 0.6111, 0.1154)  4 In 2.77-2.89
Au (0.9078, 0.1111, 0.3846)  4 In 2.77-2.89
Au (0.4078, 0.3889, 0.8846)  4 In 2.77-2.89
Au (0.9078, 0.1111, 0.1154)  4 In 2.77-2.89
In (0.0913, 0.1884, 0.9616)  3 Au 2.81-2.89
In (0.4087, 0.6884, 0.5384)  3 Au 2.81-2.89
In (0.9087, 0.8116, 0.4616)  3 Au 2.81-2.89
In (0.3390, 0.6727, 0.2500)  2 Au 2.77
In (0.6610, 0.3273, 0.7500)  2 Au 2.77
In (0.4087, 0.6884, 0.9616)  3 Au 2.81-2.89
In (0.0913, 0.1884, 0.5384)  3 Au 2.81-2.89
In (0.8390, 0.8273, 0.7500)  2 Au 2.77
In (0.1610, 0.1727, 0.2500)  2 Au 2.77
In (0.5913, 0.3116, 0.4616)  3 Au 2.81-2.89
In (0.9087, 0.8116, 0.0384)  3 Au 2.81-2.89
In (0.5913, 0.3116, 0.0384)  3 Au 2.81-2.89



DFT (GGA-PBE) results for an optimized crystal structure of Pm4Pr3NdS8.

Computed properties:
- spin magnetization (μB/f.u.) = 0.00
- total DFT energy (no corrections) (eV per cell) = -103.513
- uncorrected formation energy (eV/f.u.) = -32.38
- theoretical density (kg/m3) = 6126

Cell: 8.1284 8.1385 8.1268 Å, 119.94 120.01 90.00°
With the nearest neighbours (Å) after each atom.
Fractional positions:
S (0.7535, 0.7559, 0.0046)  3 Pm 2.85-2.86, 1 Nd 2.89, 2 Pr 2.90
S (0.2477, 0.2430, 0.4953)  3 Pm 2.85, 3 Pr 2.90
S (0.7523, 0.7570, 0.5047)  3 Pm 2.85, 3 Pr 2.90
S (0.7488, 0.2441, 0.4975)  3 Pm 2.85-2.86, 1 Nd 2.89, 2 Pr 2.90
S (0.2512, 0.7559, 0.0046)  3 Pm 2.85-2.86, 1 Nd 2.89, 2 Pr 2.90
S (0.2465, 0.2441, 0.9954)  3 Pm 2.85-2.86, 1 Nd 2.89, 2 Pr 2.90
S (0.2512, 0.7559, 0.5025)  3 Pm 2.85-2.86, 1 Nd 2.89, 2 Pr 2.90
S (0.7488, 0.2441, 0.9954)  3 Pm 2.85-2.86, 1 Nd 2.89, 2 Pr 2.90
Pm (0.0000, 0.0000, 0.0000)  6 S 2.85
Pm (0.5000, 0.0000, 0.0000)  6 S 2.86
Pm (0.0000, 0.0000, 0.5000)  6 S 2.85
Pm (0.5000, 0.0000, 0.5000)  6 S 2.85
Pr (0.5000, 0.5000, 0.0000)  6 S 2.90
Pr (0.0000, 0.5000, 0.5000)  6 S 2.90
Pr (0.5000, 0.5000, 0.5000)  6 S 2.90
Nd (0.0000, 0.5000, 0.0000)  6 S 2.89



DFT (GGA-PBE) results for an optimized crystal structure of CaY2Be2.

Computed properties:
- spin magnetization (μB/f.u.) = 0.00
- DFT formation energy (eV per atom) = 0.173
- total DFT energy (no corrections) (eV per cell) = -43.038
- theoretical density (kg/m3) = 3312

Cell: 7.2323 7.2323 4.5223 Å, 90.00 90.00 90.00°
With the nearest neighbours (Å) after each atom.
Fractional positions:
Ca (0.5000, 0.5000, 0.0000)  4 Be 2.96
Ca (0.0000, 0.0000, 0.0000)  4 Be 2.96
Be (0.3960, 0.8960, 0.0000)  1 Be 2.13
Be (0.1040, 0.3960, 0.0000)  1 Be 2.13
Be (0.6040, 0.1040, 0.0000)  1 Be 2.13
Be (0.8960, 0.6040, 0.0000)  1 Be 2.13
Y (0.1661, 0.6661, 0.5000)  6 Be 3.02-3.26
Y (0.6661, 0.8339, 0.5000)  6 Be 3.02-3.26
Y (0.3339, 0.1661, 0.5000)  6 Be 3.02-3.26
Y (0.8339, 0.3339, 0.5000)  6 Be 3.02-3.26



DFT (GGA-PBE) results for an optimized crystal structure of ErAlCu.

Computed properties:
- spin magnetization (μB/f.u.) = 0.00
- DFT formation energy (eV per atom) = -0.249
- total DFT energy (no corrections) (eV per cell) = -13.148
- theoretical density (kg/m3) = 7702

Cell: 3.1867 3.1867 5.9186 Å, 105.62 105.62 90.00°
With the nearest neighbours (Å) after each atom.
Fractional positions:
Al (0.6439, 0.6439, 0.2878)  4 Cu 2.60
Cu (0.2627, 0.2627, 0.5254)  4 Al 2.60
Er (0.9434, 0.9434, 0.8868)  4 Cu 3.00, 5 Al 3.15-3.28, 4 Er 3.19



Look up the spin magnetization of the third one. 0.00 μB/f.u.



Number 5 is which compound? CaY2Be2



Which of these has the highest theoretical density? Tb6Sm3Ho2Tl



What is the spin magnetization in the third record? 0.00 μB/f.u.